A geometry-optimized TbMgNi structure, computed with PBE.

Unit cell a=3.321 b=3.321 c=6.080 alpha=105.85 beta=105.85 gamma=90.00
Element x y z (fractional)
Ni 0.663 0.663 0.325
Mg 0.032 0.032 0.063
Tb 0.306 0.306 0.612

Properties
E_form = -191 meV/atom
Total magnetic moment = 0.0 μB per cell

***

A geometry-optimized Sr2Ga2I structure, computed with PBE.

Unit cell a=4.464 b=4.464 c=9.444 alpha=90.00 beta=103.67 gamma=120.01
Element x y z (fractional)
Sr 0.843 0.422 0.265
Sr 0.157 0.578 0.735
Ga 0.347 0.173 0.520
Ga 0.653 0.827 0.480
I 0.000 0.000 0.000

Properties
Raw formation energy = -0.875 eV per atom
Total magnetic moment = 0.0 μB per cell

***

A geometry-optimized HoErRu structure, computed with PBE.

Unit cell a=3.571 b=7.317 c=6.205 alpha=98.20 beta=106.69 gamma=104.13
Element x y z (fractional)
Ho 0.407 0.572 0.742
Ho 0.593 0.428 0.258
Er 0.694 0.110 0.778
Er 0.306 0.890 0.222
Ru 0.932 0.801 0.563
Ru 0.068 0.199 0.437

Properties
E_form = -329 meV/atom
Excess energy over the best structure of this formula in the dataset = 0.047 eV/atom
Total magnetic moment = 0.0 μB per cell

***

A geometry-optimized Li3Nd2Ni12Sn structure, computed with PBE.

Unit cell a=9.524 b=9.524 c=9.524 alpha=36.51 beta=36.51 gamma=36.51
Element x y z (fractional)
Li 0.500 0.000 0.000
Li 0.000 0.500 0.000
Li 0.000 0.000 0.500
Nd 0.637 0.637 0.637
Nd 0.363 0.363 0.363
Ni 0.414 0.414 0.802
Ni 0.874 0.874 0.454
Ni 0.454 0.874 0.874
Ni 0.802 0.414 0.414
Ni 0.874 0.454 0.874
Ni 0.414 0.802 0.414
Ni 0.586 0.586 0.198
Ni 0.126 0.126 0.546
Ni 0.546 0.126 0.126
Ni 0.198 0.586 0.586
Ni 0.126 0.546 0.126
Ni 0.586 0.198 0.586
Sn 0.000 0.000 0.000

Properties
E_form = 99 meV/atom
Total magnetic moment = 0.0 μB per cell

***

A geometry-optimized Ac6AlCd5 structure, computed with PBE.

Unit cell a=5.730 b=8.119 c=9.074 alpha=90.00 beta=108.46 gamma=90.00
Element x y z (fractional)
Ac 0.838 0.756 0.674
Ac 0.838 0.244 0.674
Ac 0.500 0.240 0.000
Ac 0.500 0.760 0.000
Ac 0.162 0.756 0.326
Ac 0.162 0.244 0.326
Al 0.000 0.000 0.000
Cd 0.666 0.500 0.334
Cd 0.331 0.000 0.660
Cd 0.000 0.500 0.000
Cd 0.669 0.000 0.340
Cd 0.334 0.500 0.666

Properties
E_form = -283 meV/atom
Total magnetic moment = 0.0 μB per cell

***

A geometry-optimized Nd2IrPt structure, computed with PBE.

Unit cell a=3.580 b=3.580 c=7.162 alpha=90.00 beta=90.00 gamma=90.00
Element x y z (fractional)
Ir 0.500 0.500 0.000
Nd 0.000 0.000 0.758
Nd 0.000 0.000 0.242
Pt 0.500 0.500 0.500

Properties
E_form = -820 meV/atom
Total magnetic moment = 0.0 μB per cell

***

A geometry-optimized Pr2Hg3Pt2 structure, computed with PBE.

Unit cell a=4.150 b=5.766 c=7.660 alpha=94.82 beta=90.00 gamma=111.09
Element x y z (fractional)
Pr 0.621 0.243 0.344
Pr 0.379 0.757 0.656
Hg 0.307 0.613 0.136
Hg 0.000 0.000 0.000
Hg 0.693 0.387 0.864
Pt 0.097 0.194 0.630
Pt 0.903 0.806 0.370

Properties
E_form = -648 meV/atom
Total magnetic moment = 0.0 μB per cell

***

A geometry-optimized BiW2N structure, computed with PBE.

Unit cell a=4.503 b=4.503 c=4.503 alpha=60.00 beta=60.00 gamma=60.00
Site moments in Bohr magnetons follow the coordinates.
Element x y z (fractional)
Bi 0.500 0.500 0.500  0.03
W 0.250 0.250 0.250  0.66
W 0.750 0.750 0.750  0.66
N 0.000 0.000 0.000  -0.05

Properties
Raw formation energy = 1.827 eV per atom
Excess energy over the best structure of this formula in the dataset = 1.074 eV/atom
Total magnetic moment = 1.6 μB per cell

***

A geometry-optimized SiIr structure, computed with PBE.

Unit cell a=5.717 b=5.717 c=5.439 alpha=74.05 beta=74.05 gamma=29.33
Element x y z (fractional)
Si 0.995 0.995 0.014
Si 0.953 0.953 0.579
Si 0.282 0.282 0.917
Ir 0.340 0.340 0.312
Ir 0.657 0.657 0.734
Ir 0.605 0.605 0.276

Properties
Raw formation energy = -0.300 eV per atom
Total magnetic moment = 0.0 μB per cell

***

A geometry-optimized CaEuInSbO6 structure, computed with PBE.

Unit cell a=5.813 b=5.813 c=5.813 alpha=60.00 beta=60.00 gamma=60.00
Site moments in Bohr magnetons follow the coordinates.
Element x y z (fractional)
Ca 0.250 0.250 0.250  0.00
Eu 0.750 0.750 0.750  6.77
In 0.000 0.000 0.000  0.00
Sb 0.500 0.500 0.500  0.00
O 0.258 0.742 0.258  -0.01
O 0.742 0.258 0.742  -0.01
O 0.258 0.742 0.742  -0.01
O 0.742 0.258 0.258  -0.01
O 0.258 0.258 0.742  -0.01
O 0.742 0.742 0.258  -0.01

Properties
Raw formation energy = -2.035 eV per atom
Total magnetic moment = 6.8 μB per cell

***

A geometry-optimized Cs3ThCd2O6 structure, computed with PBE.

Unit cell a=6.776 b=6.776 c=6.931 alpha=94.46 beta=94.46 gamma=125.75
Element x y z (fractional)
Cs 0.180 0.820 0.500
Cs 0.820 0.180 0.500
Cs 0.500 0.500 0.500
Th 0.000 0.000 0.000
Cd 0.296 0.704 0.000
Cd 0.704 0.296 0.000
O 0.917 0.616 0.849
O 0.834 0.834 0.247
O 0.083 0.384 0.151
O 0.616 0.917 0.849
O 0.166 0.166 0.753
O 0.384 0.083 0.151

Properties
Raw formation energy = -1.642 eV per atom
Total magnetic moment = 0.0 μB per cell

***

A geometry-optimized HfBeNb3 structure, computed with PBE.

Unit cell a=4.887 b=4.887 c=4.887 alpha=90.00 beta=90.00 gamma=90.00
Element x y z (fractional)
Be 0.500 0.500 0.500
Nb 0.000 0.500 0.000
Nb 0.000 0.000 0.500
Nb 0.500 0.000 0.000
Hf 0.000 0.000 0.000

Properties
E_form = 1946 meV/atom
Excess energy over the best structure of this formula in the dataset = 1.491 eV/atom
Total magnetic moment = 0.0 μB per cell

***

A geometry-optimized TlMo2IrPt structure, computed with PBE.

Unit cell a=4.757 b=5.064 c=4.757 alpha=90.00 beta=90.00 gamma=90.00
Site moments in Bohr magnetons follow the coordinates.
Element x y z (fractional)
Tl 0.500 0.500 0.500  0.02
Ir 0.000 0.000 0.000  -0.06
Mo 0.000 0.000 0.500  1.25
Mo 0.500 0.000 0.000  1.27
Pt 0.000 0.500 0.000  0.06

Properties
E_form = 1293 meV/atom
Total magnetic moment = 2.9 μB per cell

***

A geometry-optimized Ac3La2TbSe6 structure, computed with PBE.

Unit cell a=7.523 b=7.523 c=7.582 alpha=99.55 beta=99.55 gamma=120.13
Element x y z (fractional)
Ac 0.171 0.829 0.500
Ac 0.829 0.171 0.500
Ac 0.500 0.500 0.500
La 0.334 0.666 0.000
La 0.666 0.334 0.000
Tb 0.000 0.000 0.000
Se 0.923 0.600 0.768
Se 0.756 0.756 0.237
Se 0.077 0.400 0.232
Se 0.600 0.923 0.768
Se 0.244 0.244 0.763
Se 0.400 0.077 0.232

Properties
Raw formation energy = -1.889 eV per atom
Total magnetic moment = 0.0 μB per cell

***

A geometry-optimized La2AgAs structure, computed with PBE.

Unit cell a=3.840 b=3.840 c=7.299 alpha=90.00 beta=90.00 gamma=90.04
Element x y z (fractional)
As 0.500 0.500 0.750
Ag 0.500 0.500 0.250
La 0.000 0.000 0.980
La 0.000 0.000 0.520

Properties
E_form = -781 meV/atom
Total magnetic moment = 0.0 μB per cell

***

A geometry-optimized Be2GaN structure, computed with PBE.

Unit cell a=3.918 b=3.918 c=3.918 alpha=60.00 beta=60.00 gamma=60.00
Element x y z (fractional)
Be 0.250 0.250 0.250
Be 0.750 0.750 0.750
Ga 0.500 0.500 0.500
N 0.000 0.000 0.000

Properties
Raw formation energy = 1.132 eV per atom
Excess energy over the best structure of this formula in the dataset = 1.460 eV/atom
Total magnetic moment = 0.0 μB per cell

***

A geometry-optimized La2PmHg2 structure, computed with PBE.

Unit cell a=3.859 b=5.508 c=14.503 alpha=90.00 beta=97.65 gamma=90.00
Site moments in Bohr magnetons follow the coordinates.
Element x y z (fractional)
La 0.045 0.750 0.088  -0.11
La 0.955 0.250 0.912  -0.11
La 0.232 0.750 0.468  0.00
La 0.768 0.250 0.532  0.00
Pm 0.851 0.750 0.708  -0.03
Pm 0.149 0.250 0.292  -0.03
Hg 0.640 0.750 0.281  0.00
Hg 0.360 0.250 0.719  0.00
Hg 0.444 0.750 0.891  -0.01
Hg 0.556 0.250 0.109  -0.01

Properties
E_form = -378 meV/atom
Excess energy over the best structure of this formula in the dataset = 0.000 eV/atom
Total magnetic moment = 0.7 μB per cell

***

A geometry-optimized BaIn2SnRh structure, computed with PBE.

Unit cell a=6.213 b=6.075 c=6.213 alpha=90.00 beta=90.00 gamma=90.00
Site moments in Bohr magnetons follow the coordinates.
Element x y z (fractional)
In 0.000 0.000 0.500  -0.01
In 0.500 0.000 0.000  -0.01
Rh 0.500 0.500 0.500  1.26
Ba 0.000 0.000 0.000  -0.01
Sn 0.000 0.500 0.000  -0.03

Properties
E_form = 1552 meV/atom
Excess energy over the best structure of this formula in the dataset = 1.921 eV/atom
Total magnetic moment = 1.3 μB per cell

***

A geometry-optimized SmHfPdAu structure, computed with PBE.

Unit cell a=4.943 b=4.943 c=4.943 alpha=60.00 beta=60.00 gamma=60.00
Element x y z (fractional)
Hf 0.250 0.250 0.250
Au 0.000 0.000 0.000
Pd 0.500 0.500 0.500
Sm 0.750 0.750 0.750

Properties
E_form = -548 meV/atom
Total magnetic moment = 0.0 μB per cell

***

A geometry-optimized ReNiBr2 structure, computed with PBE.

Unit cell a=4.725 b=4.725 c=4.725 alpha=60.00 beta=60.00 gamma=60.00
Site moments in Bohr magnetons follow the coordinates.
Element x y z (fractional)
Br 0.000 0.000 0.000  -0.01
Br 0.250 0.250 0.250  0.11
Ni 0.500 0.500 0.500  0.40
Re 0.750 0.750 0.750  2.50

Properties
Raw formation energy = 1.512 eV per atom
Excess energy over the best structure of this formula in the dataset = 1.181 eV/atom
Total magnetic moment = 3.4 μB per cell

***

A geometry-optimized SiPb structure, computed with PBE.

Unit cell a=5.633 b=5.844 c=3.638 alpha=71.87 beta=71.16 gamma=64.96
Element x y z (fractional)
Pb 0.130 0.965 0.953
Pb 0.787 0.619 0.797
Si 0.402 0.438 0.580
Si 0.515 0.146 0.170

Properties
Raw formation energy = 0.348 eV per atom
Total magnetic moment = 0.0 μB per cell

***

A geometry-optimized CaCo2GeTe structure, computed with PBE.

Unit cell a=4.732 b=5.712 c=4.732 alpha=90.00 beta=90.00 gamma=90.00
Site moments in Bohr magnetons follow the coordinates.
Element x y z (fractional)
Ge 0.500 0.500 0.500  -0.04
Te 0.000 0.500 0.000  0.04
Co 0.000 0.000 0.500  1.42
Co 0.500 0.000 0.000  1.48
Ca 0.000 0.000 0.000  -0.11

Properties
Raw formation energy = 1.419 eV per atom
Total magnetic moment = 2.7 μB per cell

***

A geometry-optimized LaCdP2 structure, computed with PBE.

Unit cell a=3.738 b=3.736 c=6.177 alpha=90.00 beta=90.00 gamma=90.00
Element x y z (fractional)
Cd 0.500 0.500 0.250
La 0.500 0.500 0.750
P 0.000 0.000 0.046
P 0.000 0.000 0.454

Properties
E_form = -336 meV/atom
Excess energy over the best structure of this formula in the dataset = 0.301 eV/atom
Total magnetic moment = 0.0 μB per cell

***

A geometry-optimized YTe2WI structure, computed with PBE.

Unit cell a=5.393 b=5.393 c=5.400 alpha=90.00 beta=90.00 gamma=90.00
Site moments in Bohr magnetons follow the coordinates.
Element x y z (fractional)
I 0.000 0.000 0.500  0.03
Y 0.500 0.500 0.500  0.25
Te 0.000 0.500 0.000  -0.01
Te 0.500 0.000 0.000  -0.01
W 0.000 0.000 0.000  1.39

Properties
Raw formation energy = 0.387 eV per atom
Excess energy over the best structure of this formula in the dataset = 0.000 eV/atom
Total magnetic moment = 2.3 μB per cell

***

A geometry-optimized Pr6Si2SeBr3 structure, computed with PBE.

Unit cell a=7.439 b=7.439 c=7.778 alpha=99.16 beta=99.16 gamma=120.02
Element x y z (fractional)
Pr 0.930 0.587 0.790
Pr 0.727 0.727 0.210
Pr 0.070 0.413 0.210
Pr 0.587 0.930 0.790
Pr 0.273 0.273 0.790
Pr 0.413 0.070 0.210
Si 0.333 0.667 0.000
Si 0.667 0.333 0.000
Se 0.000 0.000 0.000
Br 0.168 0.832 0.500
Br 0.832 0.168 0.500
Br 0.500 0.500 0.500

Properties
Raw formation energy = -1.258 eV per atom
Total magnetic moment = 0.0 μB per cell

***

A geometry-optimized PHPbS2 structure, computed with PBE.

Unit cell a=5.330 b=5.330 c=3.310 alpha=90.00 beta=90.00 gamma=90.00
Element x y z (fractional)
Pb 0.500 0.500 0.500
P 0.000 0.000 0.500
S 0.000 0.500 0.000
S 0.500 0.000 0.000
H 0.000 0.000 0.000

Properties
Excess energy over the best structure of this formula in the dataset = 0.000 eV/atom
Total magnetic moment = 0.0 μB per cell